No. 1
Here is crystalline ReGeIr3 at its relaxed geometry from Alexandria. Energies are from PBE-GGA. Values from VASP.

Structure (Quantum ESPRESSO input):
```
&SYSTEM
  ibrav = 0, nat = 5, ntyp = 3
/
ATOMIC_SPECIES
Re 186.21 Re.upf
Ge 72.64 Ge.upf
Ir 192.22 Ir.upf
CELL_PARAMETERS angstrom
4.510 0.000 0.000
0.000 4.510 0.000
0.000 0.000 4.510
ATOMIC_POSITIONS crystal
Re 0.000 0.000 0.000
Ge 0.500 0.500 0.500
Ir 0.000 0.500 0.500
Ir 0.500 0.000 0.500
Ir 0.500 0.500 0.000
```

Summary:
Space group = Pm-3m, No. 221
ΔE to the lowest computed polymorph = 9 meV per atom
ΔE_f = 156.2 kJ/mol of atoms
Fermi-level density of states = 3.8 states/eV/cell

No. 2
Here is crystalline PrDy3Y6Tm2 at its relaxed geometry from Alexandria. Energies are from PBE-GGA. Values from VASP.

Structure (Quantum ESPRESSO input):
```
&SYSTEM
  ibrav = 0, nat = 12, ntyp = 4
/
ATOMIC_SPECIES
Pr 140.91 Pr.upf
Dy 162.50 Dy.upf
Y 88.91 Y.upf
Tm 168.93 Tm.upf
CELL_PARAMETERS angstrom
3.084 -5.337 0.000
3.084 5.337 0.000
-2.046 0.000 11.635
ATOMIC_POSITIONS crystal
Pr 0.000 0.000 0.000
Dy 0.167 0.833 0.500
Dy 0.500 0.500 0.500
Dy 0.833 0.167 0.500
Y 0.084 0.419 0.251
Y 0.250 0.250 0.749
Y 0.419 0.084 0.251
Y 0.581 0.916 0.749
Y 0.750 0.750 0.251
Y 0.916 0.581 0.749
Tm 0.333 0.667 0.000
Tm 0.667 0.333 0.000
```

Summary:
Space group = C2/m, No. 12
ΔE_f = 2.1 kJ/mol of atoms
Fermi-level density of states = 16.7 states/eV/cell